(1)
Below is an optimized crystal structure of LiH6Rh2, with properties calculated at the PBE level.

It has space group C2/m (No. 12), with a = 4.647 Å, b = 8.184 Å, c = 4.714 Å, α = 90.00°, β = 111.77° and γ = 90.00°. Symmetry generates all atoms from Li at (0.000, 0.000, 0.000), H at (0.235, 0.000, 0.692), H at (0.245, 0.327, 0.694) and Rh at (0.000, 0.165, 0.500).

The crystal system is monoclinic.


(2)
Below is an optimized crystal structure of LiHRh2, with properties calculated at the PBE level.

It has space group I-42d (No. 122), with a = 5.332 Å, b = 5.332 Å, c = 7.645 Å, α = 90.00°, β = 90.00° and γ = 90.00°. Symmetry generates all atoms from Li at (0.000, 0.000, 0.000), H at (0.000, 0.000, 0.500) and Rh at (0.070, 0.750, 0.625).

The crystal system is tetragonal.


(3)
Below is an optimized crystal structure of LiHRh2, with properties calculated at the PBE level.

It has space group Fm-3m (No. 225), with a = 5.517 Å, b = 5.517 Å, c = 5.517 Å, α = 90.00°, β = 90.00° and γ = 90.00°. Symmetry generates all atoms from Li at (0.000, 0.000, 0.000), H at (0.000, 0.000, 0.500) and Rh at (0.250, 0.250, 0.250).

The crystal system is cubic.


(4)
Below is an optimized crystal structure of Li3H7Rh, with properties calculated at the PBE level.

It has space group Cm (No. 8), with a = 6.381 Å, b = 6.140 Å, c = 5.052 Å, α = 90.00°, β = 120.79° and γ = 90.00°. Symmetry generates all atoms from Li at (0.000, 0.000, 0.000), Li at (0.482, 0.228, 0.483), H at (0.132, 0.263, 0.234), H at (0.157, 0.500, 0.801), H at (0.358, 0.000, 0.177), H at (0.360, 0.184, 0.783), H at (0.362, 0.500, 0.269) and Rh at (0.044, 0.500, 0.034).

The crystal system is monoclinic.


(5)
Below is an optimized crystal structure of LiH3Rh, with properties calculated at the PBE level.

It has space group C2/m (No. 12), with a = 10.082 Å, b = 2.902 Å, c = 5.239 Å, α = 90.00°, β = 92.98° and γ = 90.00°. Symmetry generates all atoms from Li at (0.124, 0.000, 0.394), H at (0.040, 0.000, 0.764), H at (0.186, 0.500, 0.595), H at (0.192, 0.000, 0.051) and Rh at (0.123, 0.500, 0.873).

The crystal system is monoclinic.


(6)
Below is an optimized crystal structure of LiHRh3, with properties calculated at the PBE level.

It has space group Pm-3m (No. 221), with a = 4.090 Å, b = 4.090 Å, c = 4.090 Å, α = 90.00°, β = 90.00° and γ = 90.00°. Symmetry generates all atoms from Li at (0.000, 0.000, 0.000), H at (0.500, 0.500, 0.500) and Rh at (0.000, 0.000, 0.500).

The crystal system is cubic.


Number 1: total DFT energy (no corrections) -74.27 eV/cell. Number 2: total DFT energy (no corrections) -76.85 eV/cell. Number 3: total DFT energy (no corrections) -74.03 eV/cell. Number 4: total DFT energy (no corrections) -77.99 eV/cell. Number 5: total DFT energy (no corrections) -81.00 eV/cell. Number 6: total DFT energy (no corrections) -20.32 eV/cell.